(1)
Here is an optimized crystal structure of La6YHg12 from the Alexandria database. Energies are from PBE.

Computed properties:
As for the energy of formation from the pure elements: -0.389 eV per atom. As for the raw total energy: -0.0910 hartree per atom. The value obtained for the density of states at the Fermi level is 0.767 states/eV per atom.

abc: 8.7720 8.7720 8.7720
angles: 107.35 107.35 107.35
Positions (direct):
1 Hg 0.1872 0.5789 0.4362
2 Y 0.0000 0.0000 0.0000
3 Hg 0.1381 0.8442 0.2574
4 Hg 0.2574 0.1381 0.8442
5 La 0.9263 0.7716 0.5023
6 Hg 0.1558 0.7426 0.8619
7 Hg 0.4362 0.1872 0.5789
8 Hg 0.5789 0.4362 0.1872
9 La 0.7716 0.5023 0.9263
10 Hg 0.7426 0.8619 0.1558
11 La 0.5023 0.9263 0.7716
12 La 0.0737 0.2284 0.4977
13 Hg 0.5638 0.8128 0.4211
14 Hg 0.8128 0.4211 0.5638
15 Hg 0.8442 0.2574 0.1381
16 La 0.2284 0.4977 0.0737
17 Hg 0.8619 0.1558 0.7426
18 Hg 0.4211 0.5638 0.8128
19 La 0.4977 0.0737 0.2284

(2)
Here is an optimized crystal structure of VZn4Sn from the Alexandria database. Energies are from PBE.

Computed properties:
As for the energy of formation from the pure elements: 0.135 eV per atom. As for the raw total energy: -0.1066 hartree per atom. The value obtained for the density of states at the Fermi level is 0.353 states/eV per atom.

abc: 5.2149 5.2149 5.2149
angles: 60.00 60.00 60.00
Each line ends with the local moment (μB).
Positions (direct):
1 V 0.2500 0.2500 0.2500  2.59
2 Sn 0.0000 0.0000 0.0000  -0.02
3 Zn 0.6240 0.6240 0.6240  0.02
4 Zn 0.6240 0.6240 0.1281  0.02
5 Zn 0.1281 0.6240 0.6240  0.02
6 Zn 0.6240 0.1281 0.6240  0.02

(3)
Here is an optimized crystal structure of YMg2Al from the Alexandria database. Energies are from PBE.

Computed properties:
As for the energy of formation from the pure elements: -0.172 eV per atom. As for the raw total energy: -0.1294 hartree per atom. The value obtained for the density of states at the Fermi level is 0.265 states/eV per atom.

abc: 5.0344 5.0344 5.0344
angles: 120.17 120.14 89.73
Positions (direct):
1 Mg 0.0001 0.0001 0.0000
2 Al 0.7502 0.2502 0.5000
3 Mg 0.2498 0.7498 0.5000
4 Y 0.5000 0.5000 0.0000

(4)
Here is an optimized crystal structure of K2Ti2AlSe6 from the Alexandria database. Energies are from PBE.

Computed properties:
As for the raw total energy: -0.1838 hartree per atom. The uncorrected formation energy comes out at -1125.7 meV/atom. The value obtained for the density of states at the Fermi level is 0.422 states/eV per atom.

abc: 6.5109 6.5109 8.1671
angles: 97.92 97.92 120.51
Each line ends with the local moment (μB).
Positions (direct):
1 Se 0.0680 0.3961 0.6868  -0.01
2 Ti 0.3284 0.6716 0.5000  0.38
3 K 0.8345 0.1655 0.0000  0.00
4 K 0.1655 0.8345 0.0000  0.00
5 Se 0.6039 0.9320 0.3132  -0.01
6 Se 0.9320 0.6039 0.3132  -0.01
7 Se 0.7324 0.7324 0.6796  -0.02
8 Al 0.0000 0.0000 0.5000  0.02
9 Se 0.2676 0.2676 0.3204  -0.02
10 Ti 0.6716 0.3284 0.5000  0.38
11 Se 0.3961 0.0680 0.6868  -0.01